Crystalline Na2MgAg2 at its relaxed geometry, computed with PBE.

Computed properties:
ΔE_f: 0.14 eV per atom
Space-group type: I4/mmm, No. 139
Calculated total energy: -1.850 eV per atom
Total magnetization: 0.00 μB per cell
E above lowest polymorph: 136 meV/atom

Cell lengths 4.0461, 4.0461, 7.7669 Å; angles 74.90, 74.90, 90.00 degrees
Element x y z (fractional)
Mg: 0.0000 0.0000 0.0000
Ag: 0.4073 0.4073 0.1854
Ag: 0.5927 0.5927 0.8146
Na: 0.2500 0.7500 0.5000
Na: 0.7500 0.2500 0.5000

***

Crystalline MgRe at its relaxed geometry, computed with PBE.

Computed properties:
ΔE_f: 0.23 eV per atom
Space-group type: P2_1/m, No. 11
Calculated total energy: -6.787 eV per atom
Total magnetization: 0.00 μB per cell
E above lowest polymorph: 167 meV/atom

Cell lengths 6.5414, 4.4371, 8.4222 Å; angles 90.00, 164.39, 90.00 degrees
Element x y z (fractional)
Re: 0.9823 0.0000 0.0083
Re: 0.7677 0.5000 0.9917
Mg: 0.4835 0.0000 0.9836
Mg: 0.2665 0.5000 0.0164

***

Crystalline LaP3Br at its relaxed geometry, computed with PBE.

Computed properties:
Formation energy (no corrections): 0.368 eV/atom
Space-group type: Pm-3m, No. 221
Calculated total energy: -4.198 eV per atom
Total magnetization: 0.00 μB per cell
E above lowest polymorph: 0 meV/atom

Cell lengths 4.8782, 4.8782, 4.8782 Å; angles 90.00, 90.00, 90.00 degrees
Element x y z (fractional)
Br: 0.0000 0.0000 0.0000
P: 0.5000 0.0000 0.0000
P: 0.0000 0.0000 0.5000
P: 0.0000 0.5000 0.0000
La: 0.5000 0.5000 0.5000

***

Crystalline Tl3IBr7 at its relaxed geometry, computed with PBE.

Computed properties:
Formation energy (no corrections): -0.418 eV/atom
Space-group type: Cm, No. 8
Calculated total energy: -2.268 eV per atom
Total magnetization: 0.00 μB per cell

Cell lengths 8.3792, 8.5829, 8.2313 Å; angles 75.02, 59.40, 60.78 degrees
Element x y z (fractional)
Br: 0.3199 0.0510 0.8191
Br: 0.2809 0.6099 0.8282
Br: 0.8101 0.0510 0.8191
Br: 0.3631 0.9124 0.3614
Br: 0.8225 0.4588 0.3840
Br: 0.3347 0.4588 0.3840
Br: 0.8624 0.8955 0.3797
I: 0.7648 0.5880 0.8824
Tl: 0.0717 0.7527 0.6045
Tl: 0.5711 0.7527 0.6045
Tl: 0.0731 0.2520 0.6019

***

Crystalline MnMo2Cl at its relaxed geometry, computed with PBE.

Computed properties:
Formation energy (no corrections): 0.299 eV/atom
Space-group type: P4/mmm, No. 123
Calculated total energy: -7.871 eV per atom
Total magnetization: 0.00 μB per cell
E above lowest polymorph: 127 meV/atom

Cell lengths 2.8669, 2.8669, 6.8507 Å; angles 90.00, 90.00, 90.00 degrees
Element x y z (fractional)
Mo: 0.0000 0.0000 0.9852
Mo: 0.0000 0.0000 0.5148
Mn: 0.5000 0.5000 0.7500
Cl: 0.5000 0.5000 0.2500

***

Crystalline ReMo2Ru at its relaxed geometry, computed with PBE.

Computed properties:
ΔE_f: 0.13 eV per atom
Space-group type: Cmm2, No. 35
Calculated total energy: -10.712 eV per atom
Total magnetization: 0.00 μB per cell
E above lowest polymorph: 24 meV/atom

Cell lengths 2.7172, 2.7172, 8.3724 Å; angles 90.00, 90.00, 96.57 degrees
Element x y z (fractional)
Ru: 0.5000 0.5000 0.7387
Re: 0.0000 0.0000 0.5187
Mo: 0.0000 0.0000 0.9859
Mo: 0.5000 0.5000 0.2567

***

Crystalline NaMg2GaPd at its relaxed geometry, computed with PBE.

Computed properties:
ΔE_f: -0.23 eV per atom
Space-group type: P4/mmm, No. 123
Calculated total energy: -2.774 eV per atom
Total magnetization: 0.00 μB per cell

Cell lengths 5.0694, 5.0694, 4.8295 Å; angles 90.00, 90.00, 90.00 degrees
Element x y z (fractional)
Na: 0.5000 0.5000 0.5000
Ga: 0.0000 0.0000 0.5000
Mg: 0.5000 0.0000 0.0000
Mg: 0.0000 0.5000 0.0000
Pd: 0.0000 0.0000 0.0000

***

Crystalline MgB3H12 at its relaxed geometry, computed with PBE.

Computed properties:
Space-group type: R-3c, No. 167
Calculated total energy: -3.860 eV per atom
Total magnetization: 1.58 μB per cell

Cell lengths 6.9716, 6.9716, 7.6989 Å; angles 63.08, 63.08, 60.00 degrees
Site moments in Bohr magnetons follow the coordinates.
Element x y z (fractional)
H: 0.0043 0.7948 0.0269  0.05
H: 0.5014 0.2746 0.3497  0.01
H: 0.1628 0.7897 0.6582  0.01
H: 0.2897 0.6628 0.1582  0.01
H: 0.6740 0.2948 0.5269  0.05
H: 0.2948 0.5043 0.5269  0.05
H: 0.9898 0.1598 0.4809  0.05
H: 0.7948 0.1740 0.0269  0.05
H: 0.8893 0.2897 0.1582  0.01
H: 0.8695 0.6598 0.9809  0.05
H: 0.0014 0.3742 0.8497  0.01
H: 0.1598 0.3695 0.4809  0.05
H: 0.7897 0.3893 0.6582  0.01
H: 0.8742 0.5014 0.3497  0.01
H: 0.3893 0.1628 0.6582  0.01
H: 0.4898 0.8695 0.9809  0.05
H: 0.1740 0.0043 0.0269  0.05
H: 0.2746 0.8742 0.3497  0.01
H: 0.3742 0.7746 0.8497  0.01
H: 0.3695 0.9898 0.4809  0.05
H: 0.6598 0.4898 0.9809  0.05
H: 0.5043 0.6740 0.5269  0.05
H: 0.6628 0.8893 0.1582  0.01
H: 0.7746 0.0014 0.8497  0.01
B: 0.3156 0.8320 0.5039  0.08
B: 0.3320 0.8156 0.0039  0.08
B: 0.8486 0.3320 0.0039  0.08
B: 0.8320 0.3486 0.5039  0.08
B: 0.3486 0.3156 0.5039  0.08
B: 0.8156 0.8486 0.0039  0.08
Mg: 0.0821 0.0821 0.7536  0.00
Mg: 0.5821 0.5821 0.2536  0.00

***

The records above yield DOS(E_F) values of 1.5 1.0 2.9 4.4 1.7 2.7 1.8 2.0 states/eV/f.u., respectively.